The following is a DFT calculation (PBE) of an optimized crystal structure of Li2CrP.

For the energy relative to the elements, the calculation gives 0.038 eV per atom. The total energy comes out at -4.68 eV per atom. Its total magnetization is 0.0 μB/cell.

The structure belongs to space group Cmm2 (No. 35); the cell edges are 3.2514, 4.3122 and 8.3021 Å and the angles 90.00°, 90.00° and 90.00°. The asymmetric unit holds Li at (0.0000, 0.0000, 0.0000), Li at (0.0000, 0.5000, 0.3190), Cr at (0.0000, 0.0000, 0.5811) and P at (0.0000, 0.5000, 0.7670).